Record 1
# La3Sm3Tm2

Crystalline La3Sm3Tm2 at its relaxed geometry (PBE, Alexandria via LeMat-Bulk).

Structure (POSCAR):
```
La3Sm3Tm2
1.0
-3.296 -3.944 -0.149
3.934 -3.309 0.573
-1.379 4.128 9.967
La Sm Tm
3 3 2
direct
0.628 0.628 0.255
0.372 0.372 0.745
0.500 0.000 0.000
0.129 0.129 0.258
0.000 0.500 0.000
0.871 0.871 0.742
0.749 0.249 0.498
0.251 0.751 0.502
```

Output
The energy of formation is 0.0278 eV per atom.



Record 2
# K4TcAs

Crystalline K4TcAs at its relaxed geometry (PBE, Alexandria via LeMat-Bulk).

Structure (POSCAR):
```
K4TcAs
1.0
3.865 -5.465 0.632
-1.853 -5.780 -2.890
3.398 -2.346 -5.305
K Tc As
4 1 1
direct
0.879 0.374 0.374
0.374 0.374 0.879
0.374 0.879 0.374
0.374 0.374 0.374
0.750 0.750 0.750
0.000 0.000 0.000
```

Output
The energy of formation is 1.0541 eV per atom.



Record 3
# TePHF

Crystalline TePHF at its relaxed geometry (PBE, Alexandria via LeMat-Bulk).

Structure (POSCAR):
```
TePHF
1.0
3.638 -0.029 0.004
0.802 3.619 -0.033
1.210 1.332 6.621
Te P H F
1 1 1 1
direct
0.340 0.551 0.776
0.794 0.002 0.604
0.825 0.018 0.284
0.822 0.001 0.145
```

Output
The value obtained for the polymorph energy (0 for the lowest one) is 60 meV/atom.



Number 1: total moment 0.00 μB/f.u., density 7.35 g/cm³. Number 2: total moment 4.05 μB/f.u., density 2.55 g/cm³. Number 3: total moment 0.00 μB/f.u., density 3.39 g/cm³.